# 1
DFT (PBE-GGA) results for a relaxed structure of Cs2ThHgS4.

Lattice parameters (Å, degrees): 7.8607 7.8607 9.7545 90.00 90.00 90.00
Closest atoms and distances in Å follow each position.
Space group I-4 (No. 82)
One atom of each set of equivalent atoms:
Cs (0.0000, 0.0000, 0.0000) x2  4 S 3.61
Cs (0.0000, 0.5000, 0.2500) x2  4 S 3.47
Th (0.0000, 0.0000, 0.5000) x2  4 S 2.65
Hg (0.0000, 0.5000, 0.7500) x2  4 S 2.61
S (0.1591, 0.7561, 0.6374) x8  1 Hg 2.61, 1 Th 2.65

Formation energy from raw total energies   -109.25 kJ/mol of atoms

---

# 2
DFT (PBE-GGA) results for a relaxed structure of La3PmSe6.

Lattice parameters (Å, degrees): 12.5424 12.5424 14.8382 90.00 90.00 120.00
Closest atoms and distances in Å follow each position.
Space group R-3 (No. 148, hexagonal axes)
One atom of each set of equivalent atoms:
La (0.0495, 0.2704, 0.2022) x18  6 Se 2.99-3.07
Pm (0.0000, 0.0000, 0.0000) x3  6 Se 2.90
Pm (0.0000, 0.0000, 0.5000) x3  6 Se 2.94
Se (0.0226, 0.2125, 0.3994) x18  1 Pm 2.94, 3 La 2.99-3.07
Se (0.0320, 0.1931, 0.8767) x18  1 Pm 2.90, 3 La 2.99-3.06

Formation energy from raw total energies   -190.01 kJ/mol of atoms
E above lowest polymorph   0 meV/atom

---

# 3
DFT (PBE-GGA) results for a relaxed structure of LiTm3Ga.

Lattice parameters (Å, degrees): 7.8126 6.4897 10.2421 90.00 105.89 90.00
Closest atoms and distances in Å follow each position.
Space group P2_1/c (No. 14)
One atom of each set of equivalent atoms:
Li (0.0406, 0.2134, 0.0168) x4  1 Ga 2.81, 1 Li 2.84
Tm (0.1880, 0.5204, 0.2644) x4  1 Ga 3.02, 1 Li 3.18, 3 Tm 3.34
Tm (0.2563, 0.0237, 0.3474) x4  2 Ga 2.99-3.00, 1 Li 3.22, 4 Tm 3.27-3.34
Tm (0.3936, 0.6765, 0.5914) x4  3 Ga 2.97-3.04, 2 Tm 3.27-3.32, 1 Li 3.28
Ga (0.4088, 0.2214, 0.6179) x4  1 Li 2.81, 6 Tm 2.97-3.04

ΔE_f   -0.14 eV/atom

---

# 4
DFT (PBE-GGA) results for a relaxed structure of HfP.

Lattice parameters (Å, degrees): 3.3923 4.2641 5.0019 90.00 109.83 90.00
Closest atoms and distances in Å follow each position.
Space group P2_1/m (No. 11)
One atom of each set of equivalent atoms:
Hf (0.1310, 0.2500, 0.2629) x2  7 P 2.61-2.76
P (0.4137, 0.2500, 0.8167) x2  7 Hf 2.61-2.76, 2 P 2.74

ΔE_f   -1.01 eV/atom

---

# 5
DFT (PBE-GGA) results for a relaxed structure of Tl4Hg3Se2.

Lattice parameters (Å, degrees): 15.0028 4.4609 9.8204 90.00 112.06 90.00
Closest atoms and distances in Å follow each position.
Space group C2/m (No. 12)
One atom of each set of equivalent atoms:
Tl (0.0156, 0.0000, 0.1762) x4  2 Se 2.98, 1 Hg 3.27, 1 Tl 3.31
Tl (0.1907, 0.5000, 0.6230) x4  3 Se 3.08-3.16
Hg (0.0000, 0.0000, 0.5000) x2  6 Tl 3.27-3.47
Hg (0.1703, 0.5000, 0.9654) x4  2 Hg 3.15, 1 Se 3.23, 3 Tl 3.43-3.49
Se (0.1566, 0.5000, 0.2856) x4  5 Tl 2.98-3.16, 1 Hg 3.23

Formation energy from raw total energies   -20.37 kJ/mol of atoms

---

# 6
DFT (PBE-GGA) results for a relaxed structure of YBeAu2.

Lattice parameters (Å, degrees): 5.0158 5.0158 14.5216 90.00 90.00 90.00
Closest atoms and distances in Å follow each position.
Space group I-42d (No. 122)
One atom of each set of equivalent atoms:
Y (0.0000, 0.0000, 0.0000) x4  4 Au 2.89
Be (0.0000, 0.0000, 0.5000) x4  4 Au 2.30
Au (0.1278, 0.2500, 0.6250) x8  2 Be 2.30

ΔE_f   -0.23 eV/atom

---

# 7
DFT (PBE-GGA) results for a relaxed structure of DyZn2Cu2.

Lattice parameters (Å, degrees): 3.7131 4.0462 11.2922 90.00 90.00 90.00
Closest atoms and distances in Å follow each position.
Space group Pmmn (No. 59, origin choice 2)
One atom of each set of equivalent atoms:
Dy (0.2500, 0.2500, 0.2486) x2  6 Cu 2.98-3.30, 6 Zn 3.04-3.29
Zn (0.2500, 0.2500, 0.6367) x2  5 Cu 2.46-2.48
Zn (0.2500, 0.7500, 0.9914) x2  4 Cu 2.54-2.55, 4 Zn 2.75
Cu (0.2500, 0.2500, 0.8546) x2  5 Zn 2.46-2.55
Cu (0.2500, 0.7500, 0.5095) x2  4 Zn 2.48, 4 Cu 2.75

E above lowest polymorph   14 meV/atom
ΔE_f   -0.24 eV/atom

---

| no. | total magnetic moment (Bohr magnetons per cell) |
| --- | --- |
| 1 | 0.000 |
| 2 | 0.000 |
| 3 | 0.000 |
| 4 | 0.000 |
| 5 | 0.000 |
| 6 | 0.000 |
| 7 | 0.000 |